Entry 1:
PBE CrNi2AgH, relaxed; total DFT energy (no corrections) = -0.19505 Ha/atom; DOS(E_F) = 0.8335 states/eV per atom; magnetization = 0.822 μB per atom
1.0
-0.5907 2.8491 -2.4493
1.2880 -2.1756 -2.8413
-3.5590 -1.2813 -0.6322
Ni H Ag Cr
2 1 1 1
Cartesian
0.6440 -1.0878 -1.4207
-0.2953 1.4246 -1.2246
0.0000 0.0000 0.0000
-1.4308 -0.3039 -2.9614
-1.7795 -0.6406 -0.3161

=====

Entry 2:
PBE CsNdAs2Pt4, relaxed; DOS(E_F) = 0.6768 states/eV per atom; ΔH_f (0 K) = -0.62 eV per atom; magnetization = 0.000 μB per atom
1.0
4.0846 0.0000 0.0000
0.0000 4.0846 0.0000
0.0000 0.0000 11.9090
As Pt Cs Nd
2 4 1 1
Cartesian
2.0423 2.0423 8.2892
2.0423 2.0423 3.6199
0.0000 2.0423 9.6722
2.0423 0.0000 2.2368
0.0000 2.0423 2.2368
2.0423 0.0000 9.6722
0.0000 0.0000 5.9545
0.0000 0.0000 0.0000

=====

Entry 3:
PBE PrSm2Th2, relaxed; DOS(E_F) = 1.4872 states/eV per atom; ΔH_f (0 K) = 0.02 eV per atom; magnetization = 0.000 μB per atom; offset from the most stable computed form = 0.000 eV per atom
1.0
-1.7936 2.6794 -1.6457
-2.5993 -0.7684 -2.3995
-11.4932 0.6029 9.5265
Sm Th Pr
2 2 1
Cartesian
-10.8821 1.2470 5.9275
-5.0041 1.2669 -0.4463
-5.5195 0.6232 3.0488
-10.3667 1.8907 2.4324
0.0000 0.0000 0.0000

=====

Entry 4:
PBE LiEr4In2, relaxed; DOS(E_F) = 1.1314 states/eV per atom; ΔH_f (0 K) = -0.19 eV per atom; magnetization = 0.002 μB per atom; offset from the most stable computed form = 0.000 eV per atom
1.0
4.9644 0.0000 1.5510
2.2399 4.4304 1.5510
-0.0349 -0.0214 8.8322
Er In Li
4 2 1
Cartesian
6.2554 3.8468 6.1395
0.9141 0.5621 5.7947
2.7299 1.6788 8.7033
4.4396 2.7302 3.2309
1.8335 1.1275 2.8521
5.3360 3.2814 9.0821
0.0000 0.0000 0.0000